[1]
Ba2Zn4Ni, optimized geometry, DFT GGA-PBE; calculated volume = 27.82 Å³ per atom; formation energy = -0.13 eV/atom; crystal system = tetragonal; symmetry = I4/mmm, No. 139
1.0
4.791 0.000 0.000
0.000 4.791 0.000
2.395 2.395 8.485
Ba Zn Ni
2 4 1
direct
0.350 0.350 0.301
0.650 0.650 0.699
0.863 0.863 0.273
0.137 0.137 0.727
0.000 0.500 0.000
0.500 0.000 0.000
0.000 0.000 0.000

[2]
V2FePd, optimized geometry, DFT GGA-PBE; calculated volume = 13.95 Å³ per atom; formation energy = 0.33 eV/atom; crystal system = tetragonal; symmetry = I-42d, No. 122; polymorph energy (0 for the lowest one) = 490.3 meV per atom
1.0
6.568 0.000 0.000
0.000 6.568 0.000
3.284 3.284 2.587
Pd V Fe
2 4 2
direct
0.000 0.000 0.000
0.750 0.250 0.500
0.592 0.125 0.250
0.375 0.408 0.750
0.158 0.625 0.250
0.875 0.842 0.750
0.250 0.750 0.500
0.500 0.500 0.000

[3]
CaRe2Mo, optimized geometry, DFT GGA-PBE; calculated volume = 16.89 Å³ per atom; formation energy = 0.58 eV/atom; crystal system = monoclinic; symmetry = P2/m, No. 10; polymorph energy (0 for the lowest one) = 112.2 meV per atom
1.0
4.632 0.000 0.000
0.000 2.709 -0.002
0.000 0.788 5.384
Ca Re Mo
1 2 1
direct
0.500 0.250 0.250
0.000 0.529 0.506
0.000 0.971 0.994
0.500 0.750 0.750

[4]
MnSbTe2As, optimized geometry, DFT GGA-PBE; calculated volume = 30.54 Å³ per atom; energy relative to the elements, uncorrected = 1.383 eV/atom; crystal system = tetragonal; symmetry = P4/mmm, No. 123; polymorph energy (0 for the lowest one) = 855.3 meV per atom
1.0
-5.137 -1.068 1.420
1.695 -1.650 4.894
-0.505 4.819 1.799
Te Mn As Sb
2 1 1 1
direct
0.500 0.000 0.000
0.000 0.500 0.000
0.500 0.500 0.500
0.000 0.000 0.000
0.000 0.000 0.500

[5]
CaPb2Br, optimized geometry, DFT GGA-PBE; calculated volume = 32.13 Å³ per atom; energy relative to the elements, uncorrected = -0.669 eV/atom; crystal system = orthorhombic; symmetry = Immm, No. 71; polymorph energy (0 for the lowest one) = 64.1 meV per atom
1.0
-7.664 1.235 -2.503
-6.941 -2.030 -3.771
-2.836 -1.900 3.274
Br Pb Ca
1 2 1
direct
0.750 0.750 0.750
0.950 0.950 0.050
0.550 0.550 0.450
0.250 0.250 0.250

[6]
YBePt3, optimized geometry, DFT GGA-PBE; calculated volume = 16.43 Å³ per atom; formation energy = -0.93 eV/atom; crystal system = triclinic; symmetry = P-1, No. 2; polymorph energy (0 for the lowest one) = 27.3 meV per atom
1.0
-3.387 4.263 0.932
-3.555 -1.714 -3.578
-2.916 -2.639 3.996
Pt Y Be
6 2 2
direct
0.113 0.455 0.362
0.159 0.995 0.106
0.071 0.474 0.875
0.473 0.214 0.669
0.518 0.753 0.413
0.560 0.735 0.900
0.999 0.967 0.621
0.632 0.242 0.154
0.774 0.482 0.613
0.858 0.727 0.162

[7]
Ho2Ge5Os3, optimized geometry, DFT GGA-PBE; calculated volume = 17.97 Å³ per atom; formation energy = -0.44 eV/atom; crystal system = orthorhombic; symmetry = Ibam, No. 72
1.0
5.819 0.000 0.000
2.909 7.960 0.298
2.909 1.522 7.819
Ge Os Ho
10 6 4
direct
0.250 0.500 0.500
0.085 0.091 0.739
0.585 0.739 0.091
0.957 0.793 0.793
0.457 0.793 0.793
0.543 0.207 0.207
0.915 0.909 0.261
0.415 0.261 0.909
0.043 0.207 0.207
0.750 0.500 0.500
0.149 0.256 0.446
0.851 0.744 0.554
0.250 0.000 0.000
0.750 0.000 0.000
0.351 0.554 0.744
0.649 0.446 0.256
0.143 0.588 0.127
0.643 0.127 0.588
0.357 0.873 0.412
0.857 0.412 0.873

[8]
YGe2Ru, optimized geometry, DFT GGA-PBE; calculated volume = 18.74 Å³ per atom; formation energy = -0.60 eV/atom; crystal system = trigonal; symmetry = R-3m, No. 166
1.0
-3.600 1.573 1.479
-0.555 0.441 4.138
0.500 5.200 1.643
Ge Ru Y
2 1 1
direct
0.779 0.779 0.663
0.221 0.221 0.337
0.500 0.500 0.500
0.000 0.000 0.000

[9]
ThNi7H12, optimized geometry, DFT GGA-PBE; calculated volume = 8.11 Å³ per atom; crystal system = trigonal; symmetry = R-3, No. 148; total energy = -4.45 eV/atom
1.0
8.113 0.000 2.594
-3.418 4.061 1.368
1.276 0.000 5.331
H Ni Th
12 7 1
direct
0.411 0.318 0.437
0.195 0.739 0.298
0.906 0.755 0.682
0.456 0.963 0.739
0.544 0.037 0.261
0.152 0.563 0.755
0.507 0.702 0.037
0.848 0.437 0.245
0.805 0.261 0.702
0.589 0.682 0.563
0.094 0.245 0.318
0.493 0.298 0.963
0.149 0.655 0.032
0.851 0.345 0.968
0.182 0.032 0.313
0.818 0.968 0.687
0.494 0.313 0.655
0.506 0.687 0.345
0.500 0.000 0.000
0.000 0.000 0.000

So what do the calculations give for theoretical density? Going down the list: 5073; 7861; 12497; 5511; 6904; 13810; 11675; 7428; 6706 kg/m3.
So what do the calculations give for total magnetic moment? Going down the list: 0.00; 0.00; 0.00; 0.02; 0.00; 0.00; 0.00; 0.00; 0.00 Bohr magnetons per cell.
So what do the calculations give for N(E_F)? Going down the list: 0.904; 1.745; 0.708; 1.685; 0.417; 0.496; 0.245; 0.540; 0.231 states/eV per atom.